Material: Mg3ZnIn
Method: DFT, PBE-GGA
State: relaxed

Cell and atoms, written as CIF:
```
data_Mg3ZnIn
_chemical_formula_sum 'Mg6 Zn2 In2'
_space_group_name_H-M_alt 'A m m 2'
_space_group_IT_number 38
_cell_length_a 4.8199
_cell_length_b 6.0912
_cell_length_c 8.5954
_cell_angle_alpha 90.00
_cell_angle_beta 90.00
_cell_angle_gamma 90.00
loop_
_space_group_symop_operation_xyz
'x,y,z'
'-x,-y,z'
'-x,y,z'
'x,-y,z'
'x,y+1/2,z+1/2'
'-x,-y+1/2,z+1/2'
'-x,y+1/2,z+1/2'
'x,-y+1/2,z+1/2'
loop_
_atom_site_label
_atom_site_type_symbol
_atom_site_fract_x
_atom_site_fract_y
_atom_site_fract_z
Mg1 Mg 0.0000 0.0000 0.0000
Mg2 Mg 0.5000 0.2458 0.6318
Zn1 Zn 0.5000 0.0000 0.8779
In1 In 0.0000 0.0000 0.3769
```

## Properties
DOS(E_F)	3.4	states/eV/cell
volume	25.2	Å³/atom
relative energy among the computed polymorphs	1.00	eV/f.u.